Material: Nd4HgN
Method: DFT, GGA-PBE
State: optimized geometry

Output
Fermi-level density of states = 8.6 states/eV per cell
total magnetization = 0.0001 μB per atom
formation energy without anion corrections = -6 kJ per mole of atoms

Cell lengths 4.686, 4.686, 7.336 Å; angles 90.00, 90.00, 90.00 degrees
Space group P4/mmm (No. 123)
Unique sites:
Nd 0.000 0.500 0.211 x4
Hg 0.000 0.000 0.500 x1
N 0.500 0.500 0.000 x1